1.
! YBeAu4 PBE optimized geometry; values from VASP
&SYSTEM
  ibrav = 0, nat = 6, ntyp = 3
/
ATOMIC_SPECIES
Y 88.91 Y.upf
Be 9.01 Be.upf
Au 196.97 Au.upf
CELL_PARAMETERS angstrom
-0.500 -3.933 3.828
-4.760 -2.721 0.549
-0.341 -5.289 -1.511
ATOMIC_POSITIONS crystal
Y 0.000 0.000 0.000
Be 0.750 0.750 0.750
Au 0.874 0.375 0.375
Au 0.375 0.375 0.874
Au 0.375 0.874 0.375
Au 0.375 0.375 0.375
! Volume   19.72 Å³/atom
! D(E_F)   4.87 states/eV/cell
! Calculated formation energy   -0.13 eV/atom



2.
! YBe2Au2 PBE optimized geometry; values from VASP
&SYSTEM
  ibrav = 0, nat = 10, ntyp = 3
/
ATOMIC_SPECIES
Y 88.91 Y.upf
Be 9.01 Be.upf
Au 196.97 Au.upf
CELL_PARAMETERS angstrom
7.400 0.000 0.000
0.000 7.400 0.000
0.000 0.000 2.907
ATOMIC_POSITIONS crystal
Y 0.000 0.000 0.000
Y 0.500 0.500 0.000
Be 0.386 0.886 0.000
Be 0.886 0.614 0.000
Be 0.614 0.114 0.000
Be 0.114 0.386 0.000
Au 0.172 0.672 0.500
Au 0.672 0.828 0.500
Au 0.828 0.328 0.500
Au 0.328 0.172 0.500
! Volume   15.92 Å³/atom
! D(E_F)   4.44 states/eV/cell
! Calculated formation energy   -0.19 eV/atom



3.
! YBe2Au PBE optimized geometry; values from VASP
&SYSTEM
  ibrav = 0, nat = 4, ntyp = 3
/
ATOMIC_SPECIES
Y 88.91 Y.upf
Be 9.01 Be.upf
Au 196.97 Au.upf
CELL_PARAMETERS angstrom
4.644 -0.010 -0.004
0.105 4.643 0.004
-1.916 -2.786 3.183
ATOMIC_POSITIONS crystal
Y 0.509 0.509 0.000
Be 0.965 0.965 0.000
Be 0.824 0.324 0.500
Au 0.202 0.702 0.500
! Volume   17.16 Å³/atom
! D(E_F)   1.83 states/eV/cell
! Calculated formation energy   -0.07 eV/atom



4.
! YBe2Au PBE optimized geometry; values from VASP
&SYSTEM
  ibrav = 0, nat = 4, ntyp = 3
/
ATOMIC_SPECIES
Y 88.91 Y.upf
Be 9.01 Be.upf
Au 196.97 Au.upf
CELL_PARAMETERS angstrom
4.235 0.000 0.000
0.000 3.752 -0.001
0.000 0.004 4.583
ATOMIC_POSITIONS crystal
Y 0.500 0.250 0.250
Be 0.000 0.750 0.000
Be 0.000 0.750 0.500
Au 0.500 0.750 0.750
! Volume   18.21 Å³/atom
! D(E_F)   2.67 states/eV/cell
! Calculated formation energy   -0.13 eV/atom



5.
! YBe2Au2 PBE optimized geometry; values from VASP
&SYSTEM
  ibrav = 0, nat = 5, ntyp = 3
/
ATOMIC_SPECIES
Y 88.91 Y.upf
Be 9.01 Be.upf
Au 196.97 Au.upf
CELL_PARAMETERS angstrom
4.027 0.000 0.000
0.000 4.027 0.000
2.014 2.014 5.247
ATOMIC_POSITIONS crystal
Y 0.000 0.000 0.000
Be 0.750 0.250 0.500
Be 0.250 0.750 0.500
Au 0.367 0.367 0.267
Au 0.633 0.633 0.733
! Volume   17.02 Å³/atom
! D(E_F)   2.86 states/eV/cell
! Calculated formation energy   -0.44 eV/atom



6.
! YBe2Au2 PBE optimized geometry; values from VASP
&SYSTEM
  ibrav = 0, nat = 10, ntyp = 3
/
ATOMIC_SPECIES
Y 88.91 Y.upf
Be 9.01 Be.upf
Au 196.97 Au.upf
CELL_PARAMETERS angstrom
-5.915 -3.063 -3.541
4.678 -3.641 -4.666
0.071 -2.239 1.818
ATOMIC_POSITIONS crystal
Y 0.000 0.000 0.000
Y 0.500 0.500 0.000
Be 0.156 0.656 0.500
Be 0.656 0.844 0.500
Be 0.844 0.344 0.500
Be 0.344 0.156 0.500
Au 0.365 0.865 0.000
Au 0.865 0.635 0.000
Au 0.635 0.135 0.000
Au 0.135 0.365 0.000
! Volume   16.42 Å³/atom
! D(E_F)   6.87 states/eV/cell
! Calculated formation energy   -0.08 eV/atom



7.
! YBe2Au PBE optimized geometry; values from VASP
&SYSTEM
  ibrav = 0, nat = 4, ntyp = 3
/
ATOMIC_SPECIES
Y 88.91 Y.upf
Be 9.01 Be.upf
Au 196.97 Au.upf
CELL_PARAMETERS angstrom
3.698 0.000 0.000
0.000 3.431 0.006
0.000 1.703 5.123
ATOMIC_POSITIONS crystal
Y 0.000 0.465 0.446
Be 0.000 0.191 0.995
Be 0.500 0.092 0.190
Au 0.500 0.753 0.868
! Volume   16.24 Å³/atom
! D(E_F)   1.42 states/eV/cell
! Calculated formation energy   -0.19 eV/atom



8.
! YBe2Au PBE optimized geometry; values from VASP
&SYSTEM
  ibrav = 0, nat = 4, ntyp = 3
/
ATOMIC_SPECIES
Y 88.91 Y.upf
Be 9.01 Be.upf
Au 196.97 Au.upf
CELL_PARAMETERS angstrom
0.699 -0.460 4.336
-2.161 -3.113 2.267
2.172 -3.530 1.525
ATOMIC_POSITIONS crystal
Y 0.000 0.000 0.000
Be 0.250 0.250 0.250
Be 0.750 0.750 0.750
Au 0.500 0.500 0.500
! Volume   15.23 Å³/atom
! D(E_F)   0.91 states/eV/cell
! Calculated formation energy   -0.18 eV/atom



9.
! YBe2Au PBE optimized geometry; values from VASP
&SYSTEM
  ibrav = 0, nat = 8, ntyp = 3
/
ATOMIC_SPECIES
Y 88.91 Y.upf
Be 9.01 Be.upf
Au 196.97 Au.upf
CELL_PARAMETERS angstrom
-1.426 -0.169 -4.093
-3.982 -0.960 1.427
-4.473 7.217 -1.038
ATOMIC_POSITIONS crystal
Y 0.500 0.500 0.000
Y 0.250 0.750 0.500
Be 0.875 0.125 0.250
Be 0.875 0.625 0.250
Be 0.375 0.125 0.750
Be 0.875 0.125 0.750
Au 0.000 0.000 0.000
Au 0.750 0.250 0.500
! Volume   18.78 Å³/atom
! D(E_F)   7.51 states/eV/cell
! Calculated formation energy   -0.10 eV/atom



10.
! YBe3Au10 PBE optimized geometry; values from VASP
&SYSTEM
  ibrav = 0, nat = 28, ntyp = 3
/
ATOMIC_SPECIES
Y 88.91 Y.upf
Be 9.01 Be.upf
Au 196.97 Au.upf
CELL_PARAMETERS angstrom
-3.837 -6.063 5.063
4.902 -5.203 5.101
-0.137 1.011 8.723
ATOMIC_POSITIONS crystal
Y 0.250 0.250 0.250
Y 0.750 0.750 0.750
Be 0.736 0.736 0.264
Be 0.736 0.264 0.736
Be 0.264 0.736 0.736
Be 0.264 0.264 0.736
Be 0.736 0.264 0.264
Be 0.264 0.736 0.264
Au 0.000 0.000 0.339
Au 0.000 0.339 0.000
Au 0.339 0.000 0.000
Au 0.661 0.339 0.000
Au 0.386 0.386 0.386
Au 0.158 0.614 0.614
Au 0.386 0.842 0.386
Au 0.661 0.000 0.339
Au 0.386 0.386 0.842
Au 0.842 0.386 0.386
Au 0.614 0.614 0.158
Au 0.000 0.000 0.661
Au 0.339 0.661 0.000
Au 0.000 0.661 0.339
Au 0.000 0.339 0.661
Au 0.661 0.000 0.000
Au 0.614 0.614 0.614
Au 0.000 0.661 0.000
Au 0.614 0.158 0.614
Au 0.339 0.000 0.661
! Volume   17.10 Å³/atom
! D(E_F)   10.58 states/eV/cell
! Calculated formation energy   -0.27 eV/atom



11.
! YBe2Au PBE optimized geometry; values from VASP
&SYSTEM
  ibrav = 0, nat = 4, ntyp = 3
/
ATOMIC_SPECIES
Y 88.91 Y.upf
Be 9.01 Be.upf
Au 196.97 Au.upf
CELL_PARAMETERS angstrom
3.135 0.000 0.000
0.000 3.135 0.000
0.000 0.000 6.522
ATOMIC_POSITIONS crystal
Y 0.500 0.500 0.250
Be 0.000 0.000 0.937
Be 0.000 0.000 0.563
Au 0.500 0.500 0.750
! Volume   16.02 Å³/atom
! D(E_F)   2.12 states/eV/cell
! Calculated formation energy   -0.04 eV/atom



12.
! YBe3Au6 PBE optimized geometry; values from VASP
&SYSTEM
  ibrav = 0, nat = 10, ntyp = 3
/
ATOMIC_SPECIES
Y 88.91 Y.upf
Be 9.01 Be.upf
Au 196.97 Au.upf
CELL_PARAMETERS angstrom
-3.001 4.810 -0.034
-0.599 -3.685 4.267
6.699 0.850 1.674
ATOMIC_POSITIONS crystal
Y 0.937 0.969 0.906
Be 0.646 0.323 0.969
Be 0.317 0.658 0.975
Be 0.252 0.126 0.378
Au 0.287 0.397 0.677
Au 0.165 0.678 0.246
Au 0.760 0.082 0.246
Au 0.281 0.891 0.677
Au 0.787 0.390 0.677
Au 0.569 0.487 0.246
! Volume   17.09 Å³/atom
! D(E_F)   4.08 states/eV/cell
! Calculated formation energy   -0.29 eV/atom



13.
! Y2Be7Au12 PBE optimized geometry; values from VASP
&SYSTEM
  ibrav = 0, nat = 21, ntyp = 3
/
ATOMIC_SPECIES
Y 88.91 Y.upf
Be 9.01 Be.upf
Au 196.97 Au.upf
CELL_PARAMETERS angstrom
3.971 0.000 0.000
0.000 8.582 -4.955
0.000 0.000 9.909
ATOMIC_POSITIONS crystal
Y 0.248 0.333 0.667
Y 0.752 0.667 0.333
Be 0.500 0.000 0.000
Be 0.252 0.887 0.287
Be 0.252 0.400 0.113
Be 0.252 0.713 0.600
Be 0.748 0.113 0.713
Be 0.748 0.600 0.887
Be 0.748 0.287 0.400
Au 0.249 0.621 0.079
Au 0.249 0.458 0.379
Au 0.249 0.921 0.542
Au 0.751 0.379 0.921
Au 0.751 0.542 0.621
Au 0.751 0.079 0.458
Au 0.248 0.119 0.259
Au 0.248 0.140 0.881
Au 0.248 0.741 0.860
Au 0.752 0.881 0.741
Au 0.752 0.860 0.119
Au 0.752 0.259 0.140
! Volume   16.08 Å³/atom
! D(E_F)   5.11 states/eV/cell
! Calculated formation energy   -0.32 eV/atom



14.
! YBeZnAu3 PBE optimized geometry; values from VASP
&SYSTEM
  ibrav = 0, nat = 12, ntyp = 4
/
ATOMIC_SPECIES
Y 88.91 Y.upf
Be 9.01 Be.upf
Zn 65.41 Zn.upf
Au 196.97 Au.upf
CELL_PARAMETERS angstrom
5.763 0.000 0.000
0.000 6.411 0.000
0.000 -3.206 6.162
ATOMIC_POSITIONS crystal
Y 0.750 0.280 0.561
Y 0.250 0.720 0.439
Be 0.250 0.967 0.934
Be 0.750 0.033 0.066
Zn 0.250 0.363 0.727
Zn 0.750 0.637 0.273
Au 0.250 0.162 0.324
Au 0.000 0.276 0.000
Au 0.500 0.724 0.000
Au 0.500 0.276 0.000
Au 0.000 0.724 0.000
Au 0.750 0.838 0.676
! Volume   18.97 Å³/atom
! D(E_F)   4.11 states/eV/cell
! Calculated formation energy   -0.33 eV/atom



15.
! YBeZnAu2 PBE optimized geometry; values from VASP
&SYSTEM
  ibrav = 0, nat = 5, ntyp = 4
/
ATOMIC_SPECIES
Y 88.91 Y.upf
Be 9.01 Be.upf
Zn 65.41 Zn.upf
Au 196.97 Au.upf
CELL_PARAMETERS angstrom
-1.762 -0.394 -4.203
1.913 -4.134 -0.414
-3.614 -1.841 1.688
ATOMIC_POSITIONS crystal
Y 0.500 0.500 0.500
Be 0.000 0.000 0.000
Zn 0.000 0.000 0.500
Au 0.000 0.500 0.000
Au 0.500 0.000 0.000
! Volume   18.38 Å³/atom
! D(E_F)   1.60 states/eV/cell
! Calculated formation energy   -0.35 eV/atom



16.
! YBe2ZnAu4 PBE optimized geometry; values from VASP
&SYSTEM
  ibrav = 0, nat = 8, ntyp = 4
/
ATOMIC_SPECIES
Y 88.91 Y.upf
Be 9.01 Be.upf
Zn 65.41 Zn.upf
Au 196.97 Au.upf
CELL_PARAMETERS angstrom
4.210 0.000 0.000
2.105 3.646 0.000
2.105 1.215 8.985
ATOMIC_POSITIONS crystal
Y 0.000 0.000 0.000
Be 0.757 0.757 0.730
Be 0.243 0.243 0.270
Zn 0.500 0.500 0.500
Au 0.399 0.399 0.802
Au 0.874 0.874 0.377
Au 0.126 0.126 0.623
Au 0.601 0.601 0.198
! Volume   17.24 Å³/atom
! D(E_F)   3.06 states/eV/cell
! Calculated formation energy   -0.30 eV/atom



17.
! YBe2ZnAu5 PBE optimized geometry; values from VASP
&SYSTEM
  ibrav = 0, nat = 9, ntyp = 4
/
ATOMIC_SPECIES
Y 88.91 Y.upf
Be 9.01 Be.upf
Zn 65.41 Zn.upf
Au 196.97 Au.upf
CELL_PARAMETERS angstrom
-0.254 0.962 4.525
-3.520 -2.981 0.437
4.669 -5.308 1.391
ATOMIC_POSITIONS crystal
Y 0.000 0.000 0.500
Be 0.500 0.500 0.164
Be 0.500 0.500 0.836
Zn 0.000 0.000 0.000
Au 0.000 0.500 0.216
Au 0.500 0.000 0.216
Au 0.000 0.500 0.784
Au 0.500 0.000 0.784
Au 0.500 0.500 0.500
! Volume   17.18 Å³/atom
! D(E_F)   2.71 states/eV/cell
! Calculated formation energy   -0.28 eV/atom



18.
! BeZn3Au6 PBE optimized geometry; values from VASP
&SYSTEM
  ibrav = 0, nat = 20, ntyp = 3
/
ATOMIC_SPECIES
Be 9.01 Be.upf
Zn 65.41 Zn.upf
Au 196.97 Au.upf
CELL_PARAMETERS angstrom
4.508 0.000 0.000
0.000 7.309 -2.445
0.000 0.088 9.766
ATOMIC_POSITIONS crystal
Be 0.250 0.961 0.590
Be 0.750 0.039 0.410
Zn 0.250 0.518 0.377
Zn 0.750 0.482 0.623
Zn 0.250 0.397 0.780
Zn 0.750 0.603 0.220
Zn 0.250 0.776 0.982
Zn 0.750 0.224 0.018
Au 0.250 0.472 0.083
Au 0.750 0.528 0.917
Au 0.250 0.143 0.159
Au 0.750 0.857 0.841
Au 0.250 0.681 0.663
Au 0.750 0.319 0.337
Au 0.250 0.221 0.495
Au 0.750 0.779 0.505
Au 0.250 0.845 0.322
Au 0.750 0.155 0.678
Au 0.250 0.087 0.850
Au 0.750 0.913 0.150
! Volume   16.14 Å³/atom
! D(E_F)   3.71 states/eV/cell
! Calculated formation energy   -0.15 eV/atom



19.
! Be2ZnAu PBE optimized geometry; values from VASP
&SYSTEM
  ibrav = 0, nat = 4, ntyp = 3
/
ATOMIC_SPECIES
Be 9.01 Be.upf
Zn 65.41 Zn.upf
Au 196.97 Au.upf
CELL_PARAMETERS angstrom
4.537 -0.106 -0.200
1.765 4.181 0.200
-3.041 -2.208 2.552
ATOMIC_POSITIONS crystal
Be 0.000 0.000 0.000
Be 0.750 0.250 0.500
Zn 0.500 0.500 0.000
Au 0.250 0.750 0.500
! Volume   12.30 Å³/atom
! D(E_F)   1.11 states/eV/cell
! Calculated formation energy   0.02 eV/atom



20.
! BeZn2Au PBE optimized geometry; values from VASP
&SYSTEM
  ibrav = 0, nat = 8, ntyp = 3
/
ATOMIC_SPECIES
Be 9.01 Be.upf
Zn 65.41 Zn.upf
Au 196.97 Au.upf
CELL_PARAMETERS angstrom
-3.161 2.245 1.790
-1.774 -3.949 1.838
5.519 1.353 2.966
ATOMIC_POSITIONS crystal
Be 0.662 0.910 0.973
Be 0.868 0.067 0.385
Zn 0.004 0.621 0.659
Zn 0.112 0.208 0.878
Zn 0.237 0.803 0.126
Zn 0.369 0.376 0.389
Au 0.751 0.479 0.154
Au 0.474 0.975 0.601
! Volume   14.27 Å³/atom
! D(E_F)   1.50 states/eV/cell
! Calculated formation energy   -0.05 eV/atom



21.
! BeZnAu2 PBE optimized geometry; values from VASP
&SYSTEM
  ibrav = 0, nat = 4, ntyp = 3
/
ATOMIC_SPECIES
Be 9.01 Be.upf
Zn 65.41 Zn.upf
Au 196.97 Au.upf
CELL_PARAMETERS angstrom
-2.792 -0.901 2.657
1.005 -0.723 3.759
-1.107 4.058 3.160
ATOMIC_POSITIONS crystal
Be 0.671 0.671 0.988
Zn 0.496 0.496 0.511
Au 0.063 0.063 0.811
Au 0.270 0.270 0.190
! Volume   16.07 Å³/atom
! D(E_F)   0.97 states/eV/cell
! Calculated formation energy   -0.09 eV/atom



22.
! BeZn2Au8 PBE optimized geometry; values from VASP
&SYSTEM
  ibrav = 0, nat = 11, ntyp = 3
/
ATOMIC_SPECIES
Be 9.01 Be.upf
Zn 65.41 Zn.upf
Au 196.97 Au.upf
CELL_PARAMETERS angstrom
-3.392 2.139 2.055
1.978 -1.957 5.304
4.671 5.539 -2.995
ATOMIC_POSITIONS crystal
Be 0.500 0.000 0.000
Zn 0.818 0.317 0.635
Zn 0.182 0.683 0.365
Au 0.378 0.607 0.756
Au 0.632 0.880 0.265
Au 0.807 0.792 0.613
Au 0.996 0.242 0.992
Au 0.193 0.208 0.387
Au 0.368 0.120 0.735
Au 0.622 0.393 0.244
Au 0.004 0.758 0.008
! Volume   16.97 Å³/atom
! D(E_F)   3.07 states/eV/cell
! Calculated formation energy   -0.11 eV/atom



23.
! BeZn2Au PBE optimized geometry; values from VASP
&SYSTEM
  ibrav = 0, nat = 8, ntyp = 3
/
ATOMIC_SPECIES
Be 9.01 Be.upf
Zn 65.41 Zn.upf
Au 196.97 Au.upf
CELL_PARAMETERS angstrom
-2.523 -6.334 -2.138
3.851 -3.245 5.070
-1.190 -4.573 3.013
ATOMIC_POSITIONS crystal
Be 0.500 0.500 0.000
Be 0.250 0.750 0.500
Zn 0.590 0.125 0.250
Zn 0.160 0.625 0.250
Zn 0.375 0.410 0.750
Zn 0.875 0.840 0.750
Au 0.000 0.000 0.000
Au 0.750 0.250 0.500
! Volume   15.47 Å³/atom
! D(E_F)   2.61 states/eV/cell
! Calculated formation energy   0.22 eV/atom